#w
Below is a relaxed structure of CuReTc, with properties calculated at the GGA-PBE level.

Output
The space-group type is Cmcm, No. 63.

a b c (Å): 4.2724 4.8094 8.4707
angles (deg): 90.00 90.00 90.00
With the nearest neighbours (Å) after each atom.
Positions (direct):
Re 0.5000 0.0000 0.4718  5 Tc 2.58-2.79, 2 Cu 2.65
Re 0.0000 0.0000 0.9717  5 Tc 2.58-2.79, 2 Cu 2.65
Re 0.5000 0.5000 0.0283  5 Tc 2.58-2.79, 2 Cu 2.65
Re 0.0000 0.5000 0.5282  5 Tc 2.58-2.79, 2 Cu 2.65
Cu 0.5000 0.7500 0.7501  2 Cu 2.40-2.41, 4 Tc 2.61, 2 Re 2.65
Cu 0.0000 0.7500 0.2499  2 Cu 2.40-2.41, 4 Tc 2.61, 2 Re 2.65
Cu 0.0000 0.2500 0.2499  2 Cu 2.40-2.41, 4 Tc 2.61, 2 Re 2.65
Cu 0.5000 0.2500 0.7501  2 Cu 2.40-2.41, 4 Tc 2.61, 2 Re 2.65
Tc 0.0000 0.5000 0.8571  5 Re 2.58-2.79, 4 Cu 2.61
Tc 0.5000 0.5000 0.3571  5 Re 2.58-2.79, 4 Cu 2.61
Tc 0.5000 0.0000 0.1429  5 Re 2.58-2.79, 4 Cu 2.61
Tc 0.0000 0.0000 0.6429  5 Re 2.58-2.79, 4 Cu 2.61

***

#x
Below is a relaxed structure of CuReTc, with properties calculated at the GGA-PBE level.

Output
The space-group type is I4mm, No. 107.

a b c (Å): 4.7441 4.7441 4.7441
angles (deg): 141.10 141.10 56.18
With the nearest neighbours (Å) after each atom.
Positions (direct):
Cu 0.9995 0.9995 0.0000  5 Re 2.64-2.78, 5 Tc 2.64-2.77
Re 0.3322 0.3322 0.0000  5 Tc 2.62-2.81, 5 Cu 2.64-2.78
Tc 0.6683 0.6683 0.0000  5 Re 2.62-2.81, 5 Cu 2.64-2.77

***

#y
Below is a relaxed structure of CuReTc, with properties calculated at the GGA-PBE level.

Output
The space-group type is F-43m, No. 216.

a b c (Å): 4.1434 4.1434 4.1434
angles (deg): 60.00 60.00 60.00
With the nearest neighbours (Å) after each atom.
Positions (direct):
Tc 0.0000 0.0000 0.0000  4 Re 2.54
Cu 0.5000 0.5000 0.5000  4 Re 2.54
Re 0.7500 0.7500 0.7500  4 Cu 2.54, 4 Tc 2.54

***

#z
Below is a relaxed structure of CuReTc, with properties calculated at the GGA-PBE level.

Output
The space-group type is Fmm2, No. 42.

a b c (Å): 7.0113 6.8267 2.6386
angles (deg): 82.97 75.09 21.93
With the nearest neighbours (Å) after each atom.
Positions (direct):
Tc 0.6682 0.6682 0.3318  4 Tc 2.64, 2 Re 2.64, 2 Cu 2.69
Cu 0.9998 0.9998 0.0002  4 Cu 2.64, 2 Re 2.68, 2 Tc 2.69
Re 0.3321 0.3321 0.6679  4 Re 2.64, 2 Tc 2.64, 2 Cu 2.68

***

Q: Which of them is the most stable? A: #x.

***

#w
Below is a relaxed structure of CuReTc, with properties calculated at the GGA-PBE level.

Output
The space-group type is P3m1, No. 156.

a b c (Å): 2.7412 2.7412 6.5876
angles (deg): 90.00 90.00 120.00
With the nearest neighbours (Å) after each atom.
Positions (direct):
Tc 0.3333 0.6667 0.6594  3 Re 2.63, 6 Tc 2.74, 3 Cu 2.75
Re 0.6667 0.3333 0.3403  3 Tc 2.63, 6 Re 2.74, 3 Cu 2.74
Cu 0.0000 0.0000 0.0002  6 Cu 2.74, 3 Re 2.74, 3 Tc 2.75

***

#x
Below is a relaxed structure of CuReTc, with properties calculated at the GGA-PBE level.

Output
The space-group type is Imm2, No. 44.

a b c (Å): 4.6219 4.6219 4.6219
angles (deg): 145.93 130.26 61.67
With the nearest neighbours (Å) after each atom.
Positions (direct):
Tc 0.6661 0.6661 0.0000  5 Re 2.64-2.72, 5 Cu 2.65-2.71, 2 Tc 2.71
Re 0.3339 0.3339 0.0000  5 Tc 2.64-2.72, 5 Cu 2.65-2.71, 2 Re 2.71
Cu 0.0000 0.0000 0.0000  5 Tc 2.65-2.71, 5 Re 2.65-2.71, 2 Cu 2.71

***

Q: Which of them is the most stable? A: #x.

***

#w
Below is a relaxed structure of CuRe3Tc, with properties calculated at the GGA-PBE level.

Output
The space-group type is Pm-3m, No. 221.

a b c (Å): 4.6558 4.6558 4.6558
angles (deg): 90.00 90.00 90.00
With the nearest neighbours (Å) after each atom.
Positions (direct):
Re 0.0000 0.5000 0.0000  2 Tc 2.33
Re 0.0000 0.0000 0.5000  2 Tc 2.33
Re 0.5000 0.0000 0.0000  2 Tc 2.33
Cu 0.5000 0.5000 0.5000  12 Re 3.29
Tc 0.0000 0.0000 0.0000  6 Re 2.33

***

#x
Below is a relaxed structure of CuRe3Tc, with properties calculated at the GGA-PBE level.

Output
The space-group type is Pm-3m, No. 221.

a b c (Å): 4.3829 4.3829 4.3829
angles (deg): 90.00 90.00 90.00
With the nearest neighbours (Å) after each atom.
Positions (direct):
Re 0.0000 0.0000 0.5000  2 Cu 2.19
Re 0.0000 0.5000 0.0000  2 Cu 2.19
Re 0.5000 0.0000 0.0000  2 Cu 2.19
Cu 0.0000 0.0000 0.0000  6 Re 2.19
Tc 0.5000 0.5000 0.5000  12 Re 3.10

***

Q: Which of them is the most stable? A: #x.

***

#w
Below is a relaxed structure of CuReTe2, with properties calculated at the GGA-PBE level.

Output
The space-group type is P4/mmm, No. 123.

a b c (Å): 3.2740 3.2740 7.1849
angles (deg): 90.00 90.00 90.00
With the nearest neighbours (Å) after each atom.
Positions (direct):
Re 0.5000 0.5000 0.7500  8 Te 2.87
Te 0.0000 0.0000 0.5133  4 Re 2.87, 4 Cu 2.99
Te 0.0000 0.0000 0.9867  4 Re 2.87, 4 Cu 2.99
Cu 0.5000 0.5000 0.2500  8 Te 2.99, 4 Cu 3.27

***

#x
Below is a relaxed structure of CuReTe2, with properties calculated at the GGA-PBE level.

Output
The space-group type is P2/m, No. 10.

a b c (Å): 3.3835 7.0552 5.5654
angles (deg): 37.75 90.00 90.00
With the nearest neighbours (Å) after each atom.
Positions (direct):
Te 0.5000 0.5000 0.0000  4 Re 2.74, 2 Cu 2.78
Te 0.0000 0.0000 0.0000  4 Cu 2.74, 2 Re 2.78
Re 0.0000 0.0000 0.5000  6 Te 2.74-2.78
Cu 0.5000 0.5000 0.5000  6 Te 2.74-2.78

***

Q: Which of them is the most stable? A: #w.